# 1
Crystalline Zr4FeSb at its relaxed geometry, computed with PBE.

Cell: 5.713 5.713 5.713 Å, 60.00 60.00 60.00°
Positions (direct):
Zr1 0.873 0.376 0.376
Zr2 0.376 0.376 0.873
Zr3 0.376 0.376 0.376
Zr4 0.376 0.873 0.376
Sb1 0.000 0.000 0.000
Fe1 0.750 0.750 0.750

energy relative to the elements, uncorrected: 2.5 eV/f.u.
spin magnetization: 2.16 μB per cell


# 2
Crystalline ZrFeSb3 at its relaxed geometry, computed with PBE.

Cell: 5.513 5.513 5.513 Å, 90.00 90.00 90.00°
Positions (direct):
Zr1 0.000 0.000 0.000
Sb1 0.000 0.500 0.000
Sb2 0.000 0.000 0.500
Sb3 0.500 0.000 0.000
Fe1 0.500 0.500 0.500

energy relative to the elements, uncorrected: 4.3 eV/f.u.
spin magnetization: 3.56 μB per cell


# 3
Crystalline ZrFeSb2 at its relaxed geometry, computed with PBE.

Cell: 4.059 4.059 6.227 Å, 71.00 71.00 60.12°
Positions (direct):
Fe1 0.750 0.750 0.750
Sb1 0.483 0.483 0.552
Sb2 0.017 0.017 0.948
Zr1 0.250 0.250 0.250

energy relative to the elements, uncorrected: -0.2 eV/f.u.
spin magnetization: 0.00 μB per cell


# 4
Crystalline Zr3Fe2Sb3 at its relaxed geometry, computed with PBE.

Cell: 4.295 6.849 22.079 Å, 90.03 90.00 90.00°
Positions (direct):
Zr1 0.250 0.994 0.928
Zr2 0.750 0.501 0.759
Zr3 0.750 0.499 0.092
Zr4 0.750 0.506 0.424
Zr5 0.250 0.500 0.241
Zr6 0.250 0.507 0.572
Zr7 0.750 0.004 0.078
Zr8 0.750 0.006 0.741
Zr9 0.250 0.993 0.593
Zr10 0.250 0.509 0.908
Zr11 0.250 0.000 0.258
Zr12 0.750 0.005 0.406
Sb1 0.750 0.734 0.972
Sb2 0.750 0.237 0.868
Sb3 0.250 0.767 0.138
Sb4 0.250 0.269 0.029
Sb5 0.250 0.272 0.360
Sb6 0.750 0.237 0.533
Sb7 0.750 0.736 0.300
Sb8 0.250 0.770 0.467
Sb9 0.250 0.768 0.801
Sb10 0.250 0.273 0.694
Sb11 0.750 0.237 0.200
Sb12 0.750 0.730 0.637
Fe1 0.250 0.645 0.357
Fe2 0.250 0.644 0.025
Fe3 0.750 0.848 0.859
Fe4 0.250 0.146 0.475
Fe5 0.750 0.849 0.525
Fe6 0.250 0.143 0.143
Fe7 0.250 0.146 0.809
Fe8 0.250 0.645 0.691

energy relative to the elements, uncorrected: -3.9 eV/f.u.
spin magnetization: 5.14 μB per cell